VASP calculation (PBE) on a relaxed PmTm2Sc crystal.

## Properties
total magnetic moment = 0.0 μB/cell
E above lowest polymorph = 23.7 meV/atom
calculated volume = 29.6 A^3/atom
energy of formation = 45 meV/atom

Unit cell a=4.9579 b=4.8861 c=4.8861 alpha=90.00 beta=90.00 gamma=90.00
Atoms (fractional coordinates):
Sc (0.5000, 0.0000, 0.0000)
Tm (0.0000, 0.0000, 0.5000)
Tm (0.0000, 0.5000, 0.0000)
Pm (0.5000, 0.5000, 0.5000)